Record 1
An optimized crystal structure of KAg3Se2, computed with GGA-PBEsol.

## Properties
- electronic total energy (eV per atom) = -3.53

Lattice parameters (Å, degrees): 16.2491 4.2858 8.6697 90.00 114.71 90.00
Space group C2/m (No. 12)
Unique sites:
K1 0.1376 0.0000 0.0513 x4
Ag1 0.0551 0.0000 0.3998 x4
Ag2 0.0903 0.5000 0.6458 x4
Ag3 0.1871 0.5000 0.4377 x4
Se1 0.0161 0.5000 0.2020 x4
Se2 0.2014 0.0000 0.7065 x4

***

Record 2
An optimized crystal structure of PdPtSeO2, computed with GGA-PBEsol.

## Properties
- electronic total energy (eV per atom) = -5.01

Lattice parameters (Å, degrees): 3.7823 3.7823 4.8426 90.00 90.00 90.00
Space group P4/mmm (No. 123)
Unique sites:
Pd1 0.0000 0.0000 0.0000 x1
Pt1 0.5000 0.5000 0.0000 x1
Se1 0.0000 0.0000 0.5000 x1
O1 0.0000 0.5000 0.5000 x2

***

Record 3
An optimized crystal structure of PbAu, computed with GGA-PBEsol.

## Properties
- E_form (eV/atom) = 0.0168

Lattice parameters (Å, degrees): 3.9695 4.2921 5.8007 90.00 90.00 90.00
Space group Immm (No. 71)
Unique sites:
Pb1 0.0000 0.0000 0.0000 x2
Au1 0.0000 0.0000 0.5000 x2

***

Record 4
An optimized crystal structure of LaZrSc2, computed with GGA-PBEsol.

## Properties
- E_form (eV/atom) = 0.1920
- energy relative to the lowest polymorph listed for this composition (meV/atom) = 138

Lattice parameters (Å, degrees): 7.3733 7.3733 7.3733 90.00 90.00 90.00
Space group F-43m (No. 216)
Unique sites:
La1 0.0000 0.0000 0.0000 x4
Zr1 0.2500 0.2500 0.2500 x4
Sc1 0.0000 0.0000 0.5000 x4
Sc2 0.2500 0.2500 0.7500 x4

***

Record 5
An optimized crystal structure of Ti3CuO8, computed with GGA-PBEsol.

## Properties
- electronic total energy (eV per atom) = -8.22

Lattice parameters (Å, degrees): 3.7681 3.7681 9.4558 90.00 90.00 90.00
Space group P-4m2 (No. 115)
Unique sites:
Ti1 0.0000 0.0000 0.0000 x1
Ti2 0.0000 0.5000 0.2556 x2
Cu1 0.5000 0.5000 0.5000 x1
O1 0.0000 0.0000 0.2099 x2
O2 0.0000 0.5000 0.0437 x2
O3 0.0000 0.5000 0.4623 x2
O4 0.5000 0.5000 0.3015 x2

***

Record 6
An optimized crystal structure of LiAg2As, computed with GGA-PBEsol.

## Properties
- E_form (eV/atom) = -0.1637

Lattice parameters (Å, degrees): 2.8821 4.2928 5.5437 90.00 104.53 90.00
Space group Pm (No. 6)
Unique sites:
Li1 0.0000 0.0000 0.0000 x1
Ag1 0.2587 0.0000 0.5216 x1
Ag2 0.6498 0.5000 0.3014 x1
As1 0.4107 0.5000 0.8095 x1